Entry 1:
Computed, not measured: crystalline TmMgAuSeS2 at its relaxed geometry at the PBE level of DFT.

Properties
Energy = -4.6530 eV/atom

Cell and atoms, written as POSCAR:
```
TmMgAuSeS2
1.0
1.9785 -6.7082 0.0000
1.9785 6.7082 0.0000
0.0000 0.0000 10.5572
Tm Mg Au Se S
2 2 2 2 4
direct
0.0000 0.0000 0.0000 Tm
0.0000 0.0000 0.5000 Tm
0.2974 0.7026 0.7500 Mg
0.7026 0.2974 0.2500 Mg
0.3573 0.6427 0.2500 Au
0.6427 0.3573 0.7500 Au
0.0780 0.9220 0.2500 Se
0.9220 0.0780 0.7500 Se
0.3638 0.6362 0.0296 S
0.3638 0.6362 0.4704 S
0.6362 0.3638 0.5296 S
0.6362 0.3638 0.9704 S
```



Entry 2:
Computed, not measured: crystalline LiTbCu at its relaxed geometry at the PBE level of DFT.

Properties
Energy = -3.3282 eV/atom

Cell and atoms, written as POSCAR:
```
LiTbCu
1.0
0.0000 3.2014 3.2014
3.2014 0.0000 3.2014
3.2014 3.2014 0.0000
Li Tb Cu
1 1 1
direct
0.0000 0.0000 0.0000 Li
0.5000 0.5000 0.5000 Tb
0.2500 0.2500 0.2500 Cu
```



Entry 3:
Computed, not measured: crystalline LiScPt2 at its relaxed geometry at the PBE level of DFT.

Properties
Energy = -5.7222 eV/atom

Cell and atoms, written as POSCAR:
```
LiScPt2
1.0
4.3485 0.0000 0.0000
-2.1742 3.7659 0.0000
0.0000 0.0000 8.2132
Li Sc Pt
2 2 4
direct
0.0000 0.0000 0.2500 Li
0.0000 0.0000 0.7500 Li
0.3333 0.6667 0.2500 Sc
0.6667 0.3333 0.7500 Sc
0.3333 0.6667 0.5861 Pt
0.3333 0.6667 0.9139 Pt
0.6667 0.3333 0.0861 Pt
0.6667 0.3333 0.4139 Pt
```



Entry 4:
Computed, not measured: crystalline AlCdCuNi at its relaxed geometry at the PBE level of DFT.

Properties
Energy = -3.6151 eV/atom

Cell and atoms, written as POSCAR:
```
AlCdCuNi
1.0
0.0000 3.0472 3.0472
3.0472 0.0000 3.0472
3.0472 3.0472 0.0000
Al Cd Cu Ni
1 1 1 1
direct
0.0000 0.0000 0.0000 Al
0.5000 0.5000 0.5000 Cd
0.2500 0.2500 0.2500 Cu
0.7500 0.7500 0.7500 Ni
```



Entry 5:
Computed, not measured: crystalline ScZnCo2 at its relaxed geometry at the PBE level of DFT.

Properties
ΔH_f (0 K) = -0.20 eV per atom
Energy = -5.6494 eV/atom

Cell and atoms, written as POSCAR:
```
ScZnCo2
1.0
2.8729 -4.2965 0.0000
2.8729 4.2965 0.0000
0.0000 0.0000 4.3165
Sc Zn Co
2 2 4
direct
0.1380 0.8620 0.7500 Sc
0.8620 0.1380 0.2500 Sc
0.3501 0.6499 0.2500 Zn
0.6499 0.3501 0.7500 Zn
0.1690 0.3698 0.7500 Co
0.3698 0.1690 0.2500 Co
0.6302 0.8310 0.7500 Co
0.8310 0.6302 0.2500 Co
```



Entry 6:
Computed, not measured: crystalline CsTcAgS3 at its relaxed geometry at the PBE level of DFT.

Properties
Energy = -4.8400 eV/atom

Cell and atoms, written as POSCAR:
```
CsTcAgS3
1.0
8.5744 0.0000 0.0000
0.0000 3.7758 0.0000
-4.0971 0.0000 9.1310
Cs Tc Ag S
2 2 2 6
direct
0.2494 0.2500 0.2754 Cs
0.7506 0.7500 0.7246 Cs
0.3257 0.7500 0.8555 Tc
0.6743 0.2500 0.1445 Tc
0.0715 0.2500 0.6108 Ag
0.9285 0.7500 0.3892 Ag
0.1448 0.2500 0.8772 S
0.2669 0.7500 0.5939 S
0.4746 0.7500 0.1211 S
0.5254 0.2500 0.8789 S
0.7331 0.2500 0.4061 S
0.8552 0.7500 0.1228 S
```



Entry 7:
Computed, not measured: crystalline LaPrGa2Pt4 at its relaxed geometry at the PBE level of DFT.

Properties
Energy = -5.9837 eV/atom

Cell and atoms, written as POSCAR:
```
LaPrGa2Pt4
1.0
4.4461 0.0000 0.0000
-2.2230 3.8504 0.0000
0.0000 0.0000 9.6979
La Pr Ga Pt
1 1 2 4
direct
0.0000 0.0000 0.0000 La
0.6667 0.3333 0.5000 Pr
0.3333 0.6667 0.2530 Ga
0.3333 0.6667 0.7470 Ga
0.0000 0.0000 0.3240 Pt
0.0000 0.0000 0.6760 Pt
0.6667 0.3333 0.1775 Pt
0.6667 0.3333 0.8225 Pt
```



Entry 8:
Computed, not measured: crystalline TbTm2Zn3InGa2 at its relaxed geometry at the PBE level of DFT.

Properties
Energy = -3.4124 eV/atom

Cell and atoms, written as POSCAR:
```
TbTm2Zn3InGa2
1.0
4.3736 0.0000 0.0000
0.0000 6.0740 3.4880
0.0000 -6.0740 3.4880
Tb Tm Zn In Ga
1 2 3 1 2
direct
0.0000 0.0000 0.0000 Tb
0.0000 0.1125 0.5571 Tm
0.0000 0.5571 0.1125 Tm
0.5000 0.3029 0.3029 Zn
0.5000 0.5566 0.8105 Zn
0.5000 0.8105 0.5566 Zn
0.0000 0.5533 0.5533 In
0.5000 0.2252 0.8886 Ga
0.5000 0.8886 0.2252 Ga
```



Entry 9:
Computed, not measured: crystalline CoBi at its relaxed geometry at the PBE level of DFT.

Properties
Energy = -4.8599 eV/atom

Cell and atoms, written as POSCAR:
```
CoBi
1.0
0.0000 2.9270 2.9270
2.9270 0.0000 2.9270
2.9270 2.9270 0.0000
Co Bi
1 1
direct
0.0000 0.0000 0.0000 Co
0.2500 0.2500 0.2500 Bi
```



Entry 10:
Computed, not measured: crystalline Dy4CI2Br2Cl at its relaxed geometry at the PBE level of DFT.

Properties
Energy = -4.9153 eV/atom

Cell and atoms, written as POSCAR:
```
Dy4CI2Br2Cl
1.0
9.3454 -1.9201 0.0000
9.3454 1.9201 0.0000
-1.5278 0.0000 7.8818
Dy C I Br Cl
4 1 2 2 1
direct
0.0016 0.0016 0.2945 Dy
0.3701 0.3701 0.4408 Dy
0.6299 0.6299 0.5592 Dy
0.9984 0.9984 0.7055 Dy
0.5000 0.5000 0.5000 C
0.1639 0.1639 0.8534 I
0.8361 0.8361 0.1466 I
0.1629 0.1629 0.3196 Br
0.8371 0.8371 0.6804 Br
0.5000 0.5000 0.0000 Cl
```



Entry 11:
Computed, not measured: crystalline YFeMoPb at its relaxed geometry at the PBE level of DFT.

Properties
Energy = -6.8110 eV/atom

Cell and atoms, written as POSCAR:
```
YFeMoPb
1.0
0.0000 3.3751 3.3751
3.3751 0.0000 3.3751
3.3751 3.3751 0.0000
Y Fe Mo Pb
1 1 1 1
direct
0.0000 0.0000 0.0000 Y
0.7500 0.7500 0.7500 Fe
0.2500 0.2500 0.2500 Mo
0.5000 0.5000 0.5000 Pb
```



Entry 12:
Computed, not measured: crystalline CuH2 at its relaxed geometry at the PBE level of DFT.

Properties
Energy = -3.2040 eV/atom

Cell and atoms, written as POSCAR:
```
CuH2
1.0
4.3538 0.0000 0.0000
0.0000 4.3538 0.0000
0.0000 0.0000 2.4020
Cu H
2 4
direct
0.0000 0.0000 0.0000 Cu
0.5000 0.5000 0.5000 Cu
0.1874 0.1874 0.5000 H
0.3126 0.6874 0.0000 H
0.6874 0.3126 0.0000 H
0.8126 0.8126 0.5000 H
```